# 1
First-principles (PBE) data for a relaxed structure of DySiSn, as listed in Alexandria via LeMat-Bulk.

Its magnetization is 0.00 μB per formula unit. The value obtained for the relative energy among the computed polymorphs is 28.9 kJ/mol of atoms. Its uncorrected formation energy is -0.26 eV/atom.

Unit cell a=7.0517 b=4.7413 c=9.1670 alpha=90.00 beta=102.91 gamma=90.00
Closest atoms and distances in Å follow each position.
Space group Cm (No. 8)
Unique sites:
Dy: 0.0000 0.0000 0.0000 x2  4 Si 2.85-3.12, 1 Sn 3.19
Dy: 0.1800 0.0000 0.4755 x2  3 Si 2.92-3.13, 3 Sn 3.19-3.24
Si: 0.3834 0.0000 0.1841 x2  3 Sn 2.58-2.66, 1 Dy 2.85
Si: 0.3972 0.5000 0.6640 x2  3 Sn 2.68-2.73, 1 Dy 2.92
Sn: 0.0687 0.5000 0.7646 x2  3 Si 2.68-2.73
Sn: 0.2587 0.5000 0.2559 x2  3 Si 2.58-2.66

---

# 2
First-principles (PBE) data for a relaxed structure of Dy4SiSn, as listed in Alexandria via LeMat-Bulk.

Its magnetization is 0.00 μB per formula unit. Its uncorrected formation energy is -0.35 eV/atom.

Unit cell a=15.8970 b=5.8009 c=7.7096 alpha=90.00 beta=106.02 gamma=90.00
Closest atoms and distances in Å follow each position.
Space group C2/c (No. 15)
Unique sites:
Dy: 0.0755 0.1298 0.4466 x8  1 Si 2.78
Dy: 0.1687 0.3789 0.1356 x8  2 Si 2.85
Si: 0.2500 0.2500 0.5000 x4  6 Dy 2.78-2.85
Sn: 0.0000 0.3666 0.7500 x4  10 Dy 3.22-3.41

---

# 3
First-principles (PBE) data for a relaxed structure of Dy6Si2SnTe3, as listed in Alexandria via LeMat-Bulk.

Its magnetization is 0.00 μB per formula unit. Its uncorrected formation energy is -1.07 eV/atom.

Unit cell a=18.8446 b=4.2575 c=8.7031 alpha=90.00 beta=104.13 gamma=90.00
Closest atoms and distances in Å follow each position.
Space group C2/m (No. 12)
Unique sites:
Dy: 0.0099 0.0000 0.2507 x4  1 Si 2.89, 2 Sn 3.02, 3 Te 3.08-3.18
Dy: 0.1670 0.5000 0.1084 x4  2 Si 2.90, 1 Sn 3.06, 3 Te 3.10-3.20
Dy: 0.1746 0.5000 0.5661 x4  3 Si 2.88-2.91, 3 Te 3.19-3.20
Si: 0.1678 0.0000 0.3357 x4  6 Dy 2.88-2.91
Sn: 0.0000 0.5000 0.0000 x2  6 Dy 3.02-3.06
Te: 0.0000 0.5000 0.5000 x2  6 Dy 3.08-3.20
Te: 0.1641 0.0000 0.8324 x4  6 Dy 3.10-3.20

---

# 4
First-principles (PBE) data for a relaxed structure of SrDySi4, as listed in Alexandria via LeMat-Bulk.

Its magnetization is 0.00 μB per formula unit. Its uncorrected formation energy is -0.38 eV/atom.

Unit cell a=7.6619 b=16.0702 c=4.3161 alpha=90.00 beta=90.00 gamma=90.00
Closest atoms and distances in Å follow each position.
Space group Pbam (No. 55)
Unique sites:
Sr: 0.1251 0.1575 0.0000 x4  12 Si 3.33-3.47
Dy: 0.1310 0.4120 0.0000 x4  10 Si 2.96-3.04
Si: 0.0292 0.6905 0.5000 x4  3 Si 2.35-2.49
Si: 0.1177 0.9501 0.5000 x4  3 Si 2.41-2.46
Si: 0.1312 0.5431 0.5000 x4  3 Si 2.44-2.49
Si: 0.2188 0.8052 0.5000 x4  3 Si 2.35-2.46

---

# 5
First-principles (PBE) data for a relaxed structure of SrDySi, as listed in Alexandria via LeMat-Bulk.

Its magnetization is 0.00 μB per formula unit. Its uncorrected formation energy is -0.20 eV/atom.

Unit cell a=3.5387 b=3.5387 c=14.2917 alpha=90.00 beta=90.00 gamma=90.00
Closest atoms and distances in Å follow each position.
Space group P4/mmm (No. 123)
Unique sites:
Sr: 0.0000 0.0000 0.1432 x2  4 Si 3.23, 4 Sr 3.54
Dy: 0.5000 0.5000 0.3808 x2  4 Si 3.03
Si: 0.0000 0.0000 0.5000 x1  8 Dy 3.03
Si: 0.5000 0.5000 0.0000 x1  8 Sr 3.23, 4 Si 3.54

---

# 6
First-principles (PBE) data for a relaxed structure of DyTaSi, as listed in Alexandria via LeMat-Bulk.

Its magnetization is 0.33 μB per formula unit. Its uncorrected formation energy is -0.57 eV/atom.

Unit cell a=3.9865 b=3.9865 c=15.6026 alpha=90.00 beta=90.00 gamma=90.00
Closest atoms and distances in Å follow each position.
Space group I4/mmm (No. 139)
Unique sites:
Dy: 0.0000 0.0000 0.1756 x4  5 Si 2.94-3.16
Ta: 0.0000 0.5000 0.0000 x4  4 Si 2.75, 4 Ta 2.82
Si: 0.0000 0.0000 0.3781 x4  4 Ta 2.75, 4 Dy 2.94

---

# 7
First-principles (PBE) data for a relaxed structure of Dy2Ta3Si4, as listed in Alexandria via LeMat-Bulk.

Its magnetization is 0.00 μB per formula unit. Its uncorrected formation energy is -0.76 eV/atom.

Unit cell a=7.0270 b=7.0346 c=6.8830 alpha=90.00 beta=108.87 gamma=90.00
Closest atoms and distances in Å follow each position.
Space group P2_1/c (No. 14)
Unique sites:
Dy: 0.1873 0.1695 0.0642 x4  7 Si 2.82-3.11
Ta: 0.2558 0.6762 0.2475 x4  6 Si 2.58-2.71
Ta: 0.5000 0.0000 0.5000 x2  6 Si 2.72-2.78, 4 Ta 3.04-3.05
Si: 0.0836 0.5362 0.8668 x4  1 Si 2.53, 4 Ta 2.62-2.78, 1 Dy 2.82
Si: 0.4928 0.1259 0.8712 x4  1 Si 2.48, 5 Ta 2.58-2.77

---

# 8
First-principles (PBE) data for a relaxed structure of Dy3TaSi6, as listed in Alexandria via LeMat-Bulk.

Its magnetization is 0.00 μB per formula unit. Its uncorrected formation energy is -0.57 eV/atom.

Unit cell a=10.9215 b=10.9215 c=10.9590 alpha=90.00 beta=90.00 gamma=120.00
Closest atoms and distances in Å follow each position.
Space group R-3c (No. 167, hexagonal axes)
Unique sites:
Dy: 0.0000 0.4345 0.2500 x18  10 Si 2.90-3.25
Ta: 0.0000 0.0000 0.0000 x6  6 Si 2.68
Si: 0.0682 0.2101 0.3407 x36  2 Si 2.37-2.47

---

# 9
First-principles (PBE) data for a relaxed structure of DyTaSi2, as listed in Alexandria via LeMat-Bulk.

Its magnetization is 0.00 μB per formula unit. Its uncorrected formation energy is -0.39 eV/atom.

Unit cell a=3.8270 b=3.8270 c=18.9898 alpha=90.00 beta=90.00 gamma=120.00
Closest atoms and distances in Å follow each position.
Space group R-3m (No. 166, hexagonal axes)
Unique sites:
Dy: 0.0000 0.0000 0.0000 x3  6 Si 2.84
Ta: 0.0000 0.0000 0.5000 x3  6 Si 2.61
Si: 0.0000 0.0000 0.2394 x6  3 Ta 2.61, 3 Dy 2.84

---

# 10
First-principles (PBE) data for a relaxed structure of DyTaSi2Tc, as listed in Alexandria via LeMat-Bulk.

Its magnetization is 0.00 μB per formula unit. Its uncorrected formation energy is -0.64 eV/atom.

Unit cell a=4.0062 b=4.0062 c=11.1224 alpha=90.00 beta=90.00 gamma=90.00
Closest atoms and distances in Å follow each position.
Space group I-4m2 (No. 119)
Unique sites:
Dy: 0.0000 0.0000 0.0000 x2  8 Si 3.07, 4 Ta 3.43, 4 Tc 3.43
Ta: 0.0000 0.5000 0.7500 x2  4 Si 2.56, 4 Tc 2.83
Si: 0.0000 0.0000 0.3926 x4  1 Si 2.39, 2 Ta 2.56, 2 Tc 2.56
Tc: 0.0000 0.5000 0.2500 x2  4 Si 2.56, 4 Ta 2.83

---

# 11
First-principles (PBE) data for a relaxed structure of Tb2DySi, as listed in Alexandria via LeMat-Bulk.

Its magnetization is 0.00 μB per formula unit. The value obtained for the relative energy among the computed polymorphs is 0.0 kJ/mol of atoms. Its uncorrected formation energy is -0.26 eV/atom.

Unit cell a=4.6392 b=4.6392 c=4.6390 alpha=90.00 beta=90.00 gamma=90.00
Closest atoms and distances in Å follow each position.
Space group P4/mmm (No. 123)
Unique sites:
Tb: 0.0000 0.5000 0.0000 x2  4 Dy 3.28, 4 Si 3.28, 4 Tb 3.28
Dy: 0.0000 0.0000 0.5000 x1  8 Tb 3.28, 4 Si 3.28
Si: 0.5000 0.5000 0.5000 x1  8 Tb 3.28, 4 Dy 3.28

---

# 12
First-principles (PBE) data for a relaxed structure of TbDySi4, as listed in Alexandria via LeMat-Bulk.

Its magnetization is 0.00 μB per formula unit. Its uncorrected formation energy is -0.41 eV/atom.

Unit cell a=8.8096 b=13.6394 c=4.2538 alpha=90.00 beta=90.00 gamma=90.00
Closest atoms and distances in Å follow each position.
Space group Pbam (No. 55)
Unique sites:
Tb: 0.0484 0.1323 0.0000 x4  8 Si 2.97-3.17
Dy: 0.1469 0.4153 0.0000 x4  10 Si 2.93-3.04
Si: 0.0423 0.2844 0.5000 x4  3 Si 2.41-2.46
Si: 0.0975 0.5632 0.5000 x4  3 Si 2.42-2.52
Si: 0.1393 0.9908 0.5000 x4  3 Si 2.41-2.52
Si: 0.1827 0.8165 0.5000 x4  3 Si 2.41-2.46